First-principles (PBE-GGA) data for an optimized crystal structure of Ca2IrPb, as listed in the Alexandria database.

**V**: 25.0 Å³ per atom
**ρ**: 7969 kg/m3
**E_form**: -0.339 eV per atom

Cell lengths 3.3751, 3.3751, 8.7724 Å; angles 90.00, 90.00, 90.00 degrees
Last column: nearest neighbours and their distance in Å.
Positions (direct):
Ca1 0.0000 0.0000 0.1993  4 Ir 2.96
Ca2 0.0000 0.0000 0.8007  4 Ir 2.96
Ir1 0.5000 0.5000 0.0000  8 Ca 2.96
Pb1 0.5000 0.5000 0.5000  4 Pb 3.38, 8 Ca 3.56